*1*
First-principles (PBE) data for crystalline Hf2SnSe at its relaxed geometry, as listed in the Alexandria database.

Total moment, μB/atom: 0.000
Space group: I-42d

a = 6.1905 Å, b = 6.1905 Å, c = 7.6922 Å
α = 66.27°, β = 66.27°, γ = 90.00°
With the nearest neighbours (Å) after each atom.
Element x y z (fractional)
1 Hf 0.6007 0.1250 0.2500  2 Se 2.62, 2 Sn 2.79
2 Hf 0.8750 0.8507 0.7500  2 Se 2.62, 2 Sn 2.79
3 Hf 0.3750 0.3993 0.7500  2 Se 2.62, 2 Sn 2.79
4 Hf 0.1493 0.6250 0.2500  2 Se 2.62, 2 Sn 2.79
5 Sn 0.0000 0.0000 0.0000  4 Hf 2.79
6 Sn 0.7500 0.2500 0.5000  4 Hf 2.79
7 Se 0.5000 0.5000 0.0000  4 Hf 2.62
8 Se 0.2500 0.7500 0.5000  4 Hf 2.62

=====

*2*
First-principles (PBE) data for crystalline Hf2SnSe at its relaxed geometry, as listed in the Alexandria database.

Total moment, μB/atom: 0.000
Space group: R-3m

a = 3.3488 Å, b = 3.3488 Å, c = 9.8315 Å
α = 80.19°, β = 80.19°, γ = 60.00°
With the nearest neighbours (Å) after each atom.
Element x y z (fractional)
1 Hf 0.9010 0.9010 0.2969  3 Se 2.75, 1 Sn 2.86
2 Hf 0.0990 0.0990 0.7031  3 Se 2.75, 1 Sn 2.86
3 Sn 0.0000 0.0000 0.0000  2 Hf 2.86
4 Se 0.5000 0.5000 0.5000  6 Hf 2.75

=====

*3*
First-principles (PBE) data for crystalline Hf2SnSe at its relaxed geometry, as listed in the Alexandria database.

Total moment, μB/atom: 0.001
Space group: Fm-3m

a = 4.9012 Å, b = 4.9012 Å, c = 4.9012 Å
α = 60.00°, β = 60.00°, γ = 60.00°
With the nearest neighbours (Å) after each atom.
Element x y z (fractional)
1 Sn 0.5000 0.5000 0.5000  8 Hf 3.00
2 Hf 0.7500 0.7500 0.7500  4 Sn 3.00, 4 Se 3.00
3 Hf 0.2500 0.2500 0.2500  4 Se 3.00, 4 Sn 3.00
4 Se 0.0000 0.0000 0.0000  8 Hf 3.00

=====

Q: Which of them is the least stable? A: *1*.

=====

*1*
First-principles (PBE) data for crystalline Hf2Sn2Se at its relaxed geometry, as listed in the Alexandria database.

Total moment, μB/atom: 0.000
Space group: P4/mbm

a = 7.2491 Å, b = 7.2491 Å, c = 4.3368 Å
α = 90.00°, β = 90.00°, γ = 90.00°
With the nearest neighbours (Å) after each atom.
Element x y z (fractional)
1 Hf 0.8389 0.6611 0.0000  2 Se 2.72, 2 Sn 2.96
2 Hf 0.1611 0.3389 0.0000  2 Se 2.72, 2 Sn 2.96
3 Hf 0.6611 0.1611 0.0000  2 Se 2.72, 2 Sn 2.96
4 Hf 0.3389 0.8389 0.0000  2 Se 2.72, 2 Sn 2.96
5 Sn 0.3572 0.1428 0.5000  1 Sn 2.93, 6 Hf 2.96-3.09
6 Sn 0.1428 0.6428 0.5000  1 Sn 2.93, 6 Hf 2.96-3.09
7 Sn 0.6428 0.8572 0.5000  1 Sn 2.93, 6 Hf 2.96-3.09
8 Sn 0.8572 0.3572 0.5000  1 Sn 2.93, 6 Hf 2.96-3.09
9 Se 0.0000 0.0000 0.0000  4 Hf 2.72
10 Se 0.5000 0.5000 0.0000  4 Hf 2.72

=====

*2*
First-principles (PBE) data for crystalline Hf2Sn2Se at its relaxed geometry, as listed in the Alexandria database.

Total moment, μB/atom: 0.000
Space group: I4/mmm

a = 3.9972 Å, b = 3.9972 Å, c = 7.9292 Å
α = 75.40°, β = 75.40°, γ = 90.00°
With the nearest neighbours (Å) after each atom.
Element x y z (fractional)
1 Se 0.0000 0.0000 0.0000  8 Hf 3.19
2 Sn 0.2500 0.7500 0.5000  4 Sn 2.83, 4 Hf 3.00
3 Sn 0.7500 0.2500 0.5000  4 Sn 2.83, 4 Hf 3.00
4 Hf 0.4008 0.4008 0.1984  1 Hf 2.94, 4 Sn 3.00, 4 Se 3.19
5 Hf 0.5992 0.5992 0.8016  1 Hf 2.94, 4 Sn 3.00, 4 Se 3.19

=====

Q: Which of them is the least stable? A: *2*.

=====

*1*
First-principles (PBE) data for crystalline SrHf4Se8 at its relaxed geometry, as listed in the Alexandria database.

Total moment, μB/atom: 0.000
Space group: R-3m

a = 7.5084 Å, b = 7.5084 Å, c = 8.6696 Å
α = 64.34°, β = 64.34°, γ = 60.00°
With the nearest neighbours (Å) after each atom.
Element x y z (fractional)
1 Se 0.2630 0.2630 0.2111  3 Hf 2.69
2 Se 0.2566 0.7642 0.2149  3 Hf 2.68-2.72
3 Se 0.7370 0.7370 0.7889  3 Hf 2.69
4 Se 0.7642 0.2566 0.2149  3 Hf 2.68-2.72
5 Se 0.2358 0.2358 0.7851  3 Hf 2.68-2.72
6 Se 0.7434 0.2358 0.7851  3 Hf 2.68-2.72
7 Se 0.7642 0.7642 0.2149  3 Hf 2.68-2.72
8 Se 0.2358 0.7434 0.7851  3 Hf 2.68-2.72
9 Sr 0.5000 0.5000 0.5000  6 Se 3.07
10 Hf 0.5000 0.0000 0.0000  6 Se 2.69-2.72
11 Hf 0.5000 0.5000 0.0000  6 Se 2.69-2.72
12 Hf 0.0000 0.0000 0.0000  6 Se 2.68
13 Hf 0.0000 0.5000 0.0000  6 Se 2.69-2.72

=====

*2*
First-principles (PBE) data for crystalline SrHf4Se8 at its relaxed geometry, as listed in the Alexandria database.

Total moment, μB/atom: 0.000
Space group: F-43m

a = 8.0367 Å, b = 8.0367 Å, c = 8.0367 Å
α = 60.00°, β = 60.00°, γ = 60.00°
With the nearest neighbours (Å) after each atom.
Element x y z (fractional)
1 Se 0.1304 0.1304 0.6087  3 Hf 2.69
2 Se 0.1796 0.6068 0.6068  3 Hf 2.76, 1 Sr 2.82
3 Se 0.6068 0.6068 0.1796  3 Hf 2.76, 1 Sr 2.82
4 Se 0.1304 0.1304 0.1304  3 Hf 2.69
5 Se 0.6087 0.1304 0.1304  3 Hf 2.69
6 Se 0.6068 0.1796 0.6068  3 Hf 2.76, 1 Sr 2.82
7 Se 0.6068 0.6068 0.6068  3 Hf 2.76, 1 Sr 2.82
8 Se 0.1304 0.6087 0.1304  3 Hf 2.69
9 Hf 0.3670 0.3670 0.8991  6 Se 2.69-2.76
10 Hf 0.8991 0.3670 0.3670  6 Se 2.69-2.76
11 Hf 0.3670 0.8991 0.3670  6 Se 2.69-2.76
12 Hf 0.3670 0.3670 0.3670  6 Se 2.69-2.76
13 Sr 0.7500 0.7500 0.7500  4 Se 2.82

=====

Q: Which of them is the least stable? A: *2*.

=====

*1*
First-principles (PBE) data for crystalline HfTaSe at its relaxed geometry, as listed in the Alexandria database.

Total moment, μB/atom: 0.000
Space group: C2/m

a = 7.4946 Å, b = 3.3402 Å, c = 9.6692 Å
α = 90.00°, β = 93.24°, γ = 90.00°
With the nearest neighbours (Å) after each atom.
Element x y z (fractional)
1 Hf 0.2689 0.5000 0.6079  4 Se 2.71-2.88, 1 Ta 3.00
2 Hf 0.7311 0.5000 0.3921  4 Se 2.71-2.88, 1 Ta 3.00
3 Hf 0.7311 0.0000 0.8921  4 Se 2.71-2.88, 1 Ta 3.00
4 Hf 0.2689 0.0000 0.1079  4 Se 2.71-2.88, 1 Ta 3.00
5 Se 0.6513 0.5000 0.6621  2 Ta 2.68, 4 Hf 2.71-2.88
6 Se 0.3487 0.5000 0.3379  2 Ta 2.68, 4 Hf 2.71-2.88
7 Se 0.3487 0.0000 0.8379  2 Ta 2.68, 4 Hf 2.71-2.88
8 Se 0.6513 0.0000 0.1621  2 Ta 2.68, 4 Hf 2.71-2.88
9 Ta 0.0740 0.0000 0.3703  2 Se 2.68, 1 Ta 2.80, 1 Hf 3.00
10 Ta 0.9260 0.0000 0.6297  2 Se 2.68, 1 Ta 2.80, 1 Hf 3.00
11 Ta 0.9260 0.5000 0.1297  2 Se 2.68, 1 Ta 2.80, 1 Hf 3.00
12 Ta 0.0740 0.5000 0.8703  2 Se 2.68, 1 Ta 2.80, 1 Hf 3.00

=====

*2*
First-principles (PBE) data for crystalline HfTaSe at its relaxed geometry, as listed in the Alexandria database.

Total moment, μB/atom: 0.000
Space group: C2/m

a = 5.2211 Å, b = 3.4125 Å, c = 13.4398 Å
α = 90.00°, β = 96.38°, γ = 90.00°
With the nearest neighbours (Å) after each atom.
Element x y z (fractional)
1 Hf 0.2951 0.0000 0.8813  4 Se 2.83-2.93, 4 Ta 2.92-3.07
2 Hf 0.7049 0.5000 0.6187  4 Se 2.83-2.93, 4 Ta 2.92-3.07
3 Hf 0.7049 0.0000 0.1187  4 Se 2.83-2.93, 4 Ta 2.92-3.07
4 Hf 0.2951 0.5000 0.3813  4 Se 2.83-2.93, 4 Ta 2.92-3.07
5 Ta 0.7718 0.0000 0.4468  1 Ta 2.64, 2 Se 2.64, 2 Hf 2.92
6 Ta 0.7718 0.5000 0.9468  1 Ta 2.64, 2 Se 2.64, 2 Hf 2.92
7 Ta 0.2282 0.0000 0.5532  1 Ta 2.64, 2 Se 2.64, 2 Hf 2.92
8 Ta 0.2282 0.5000 0.0532  1 Ta 2.64, 2 Se 2.64, 2 Hf 2.92
9 Se 0.7734 0.5000 0.2968  2 Ta 2.64, 4 Hf 2.83-2.93
10 Se 0.2266 0.0000 0.2032  2 Ta 2.64, 4 Hf 2.83-2.93
11 Se 0.7734 0.0000 0.7968  2 Ta 2.64, 4 Hf 2.83-2.93
12 Se 0.2266 0.5000 0.7032  2 Ta 2.64, 4 Hf 2.83-2.93

=====

*3*
First-principles (PBE) data for crystalline HfTaSe at its relaxed geometry, as listed in the Alexandria database.

Total moment, μB/atom: 0.000
Space group: C2/m

a = 4.6073 Å, b = 3.3389 Å, c = 14.8882 Å
α = 90.00°, β = 101.19°, γ = 90.00°
With the nearest neighbours (Å) after each atom.
Element x y z (fractional)
1 Hf 0.2845 0.0000 0.8298  5 Se 2.73-2.89, 2 Ta 3.04
2 Hf 0.7155 0.5000 0.6702  5 Se 2.73-2.89, 2 Ta 3.04
3 Hf 0.2845 0.5000 0.3298  5 Se 2.73-2.89, 2 Ta 3.04
4 Hf 0.7155 0.0000 0.1702  5 Se 2.73-2.89, 2 Ta 3.04
5 Se 0.8051 0.0000 0.3567  3 Ta 2.72-2.77, 5 Hf 2.73-2.89
6 Se 0.1949 0.0000 0.6433  3 Ta 2.72-2.77, 5 Hf 2.73-2.89
7 Se 0.1949 0.5000 0.1433  3 Ta 2.72-2.77, 5 Hf 2.73-2.89
8 Se 0.8051 0.5000 0.8567  3 Ta 2.72-2.77, 5 Hf 2.73-2.89
9 Ta 0.0000 0.5000 0.5000  4 Se 2.72, 4 Ta 2.84
10 Ta 0.0000 0.0000 0.0000  4 Se 2.72, 4 Ta 2.84
11 Ta 0.5000 0.5000 0.0000  2 Se 2.77, 4 Ta 2.84, 4 Hf 3.04
12 Ta 0.5000 0.0000 0.5000  2 Se 2.77, 4 Ta 2.84, 4 Hf 3.04

=====

*4*
First-principles (PBE) data for crystalline HfTaSe at its relaxed geometry, as listed in the Alexandria database.

Total moment, μB/atom: 0.000
Space group: Pmn2_1

a = 3.3061 Å, b = 7.3773 Å, c = 4.5913 Å
α = 90.00°, β = 90.00°, γ = 90.00°
With the nearest neighbours (Å) after each atom.
Element x y z (fractional)
1 Ta 0.0000 0.9979 0.9610  3 Se 2.69-2.77, 4 Ta 2.83
2 Ta 0.5000 0.0021 0.4610  3 Se 2.69-2.77, 4 Ta 2.83
3 Hf 0.0000 0.6521 0.5712  5 Se 2.73-2.88
4 Hf 0.5000 0.3479 0.0712  5 Se 2.73-2.88
5 Se 0.0000 0.2827 0.5686  3 Ta 2.69-2.77, 5 Hf 2.73-2.88
6 Se 0.5000 0.7173 0.0686  3 Ta 2.69-2.77, 5 Hf 2.73-2.88

=====

Q: Which of them is the least stable? A: *3*.

=====

*1*
First-principles (PBE) data for crystalline Hf3TaSe at its relaxed geometry, as listed in the Alexandria database.

Total moment, μB/atom: 0.000
Space group: Pm-3m

a = 4.8628 Å, b = 4.8628 Å, c = 4.8628 Å
α = 90.00°, β = 90.00°, γ = 90.00°
With the nearest neighbours (Å) after each atom.
Element x y z (fractional)
1 Hf 0.0000 0.5000 0.0000  2 Se 2.43
2 Hf 0.0000 0.0000 0.5000  2 Se 2.43
3 Hf 0.5000 0.0000 0.0000  2 Se 2.43
4 Ta 0.5000 0.5000 0.5000  12 Hf 3.44
5 Se 0.0000 0.0000 0.0000  6 Hf 2.43

=====

*2*
First-principles (PBE) data for crystalline Hf3TaSe at its relaxed geometry, as listed in the Alexandria database.

Total moment, μB/atom: 0.000
Space group: Pm-3m

a = 5.1126 Å, b = 5.1126 Å, c = 5.1126 Å
α = 90.00°, β = 90.00°, γ = 90.00°
With the nearest neighbours (Å) after each atom.
Element x y z (fractional)
1 Hf 0.0000 0.0000 0.5000  2 Ta 2.56
2 Hf 0.5000 0.0000 0.0000  2 Ta 2.56
3 Hf 0.0000 0.5000 0.0000  2 Ta 2.56
4 Se 0.5000 0.5000 0.5000  12 Hf 3.62
5 Ta 0.0000 0.0000 0.0000  6 Hf 2.56

=====

Q: Which of them is the least stable? A: *2*.

=====

*1*
First-principles (PBE) data for crystalline HfTaSe2 at its relaxed geometry, as listed in the Alexandria database.

Total moment, μB/atom: 0.000
Space group: Fm-3m

a = 4.6370 Å, b = 4.6370 Å, c = 4.6370 Å
α = 60.00°, β = 60.00°, γ = 60.00°
With the nearest neighbours (Å) after each atom.
Element x y z (fractional)
1 Se 0.2500 0.2500 0.2500  4 Ta 2.84, 4 Hf 2.84
2 Se 0.7500 0.7500 0.7500  4 Hf 2.84, 4 Ta 2.84
3 Hf 0.0000 0.0000 0.0000  8 Se 2.84
4 Ta 0.5000 0.5000 0.5000  8 Se 2.84

=====

*2*
First-principles (PBE) data for crystalline HfTaSe2 at its relaxed geometry, as listed in the Alexandria database.

Total moment, μB/atom: 0.000
Space group: I-42d

a = 4.6868 Å, b = 4.6868 Å, c = 8.8007 Å
α = 74.56°, β = 74.56°, γ = 90.00°
With the nearest neighbours (Å) after each atom.
Element x y z (fractional)
1 Hf 0.5000 0.5000 0.0000  4 Se 2.67
2 Hf 0.2500 0.7500 0.5000  4 Se 2.67
3 Se 0.3750 0.3559 0.7500  2 Ta 2.59, 2 Hf 2.67
4 Se 0.8750 0.8941 0.7500  2 Ta 2.59, 2 Hf 2.67
5 Se 0.6441 0.1250 0.2500  2 Ta 2.59, 2 Hf 2.67
6 Se 0.1059 0.6250 0.2500  2 Ta 2.59, 2 Hf 2.67
7 Ta 0.0000 0.0000 0.0000  4 Se 2.59
8 Ta 0.7500 0.2500 0.5000  4 Se 2.59

=====

Q: Which of them is the least stable? A: *2*.

=====

*1*
First-principles (PBE) data for crystalline HfTcSe2 at its relaxed geometry, as listed in the Alexandria database.

Total moment, μB/atom: 0.000
Space group: Fm-3m

a = 4.5873 Å, b = 4.5873 Å, c = 4.5873 Å
α = 60.00°, β = 60.00°, γ = 60.00°
With the nearest neighbours (Å) after each atom.
Element x y z (fractional)
1 Hf 0.5000 0.5000 0.5000  8 Se 2.81
2 Tc 0.0000 0.0000 0.0000  8 Se 2.81
3 Se 0.2500 0.2500 0.2500  4 Hf 2.81, 4 Tc 2.81
4 Se 0.7500 0.7500 0.7500  4 Hf 2.81, 4 Tc 2.81

=====

*2*
First-principles (PBE) data for crystalline HfTcSe2 at its relaxed geometry, as listed in the Alexandria database.

Total moment, μB/atom: 0.000
Space group: I-42d

a = 4.7291 Å, b = 4.7291 Å, c = 8.2978 Å
α = 73.44°, β = 73.44°, γ = 90.00°
With the nearest neighbours (Å) after each atom.
Element x y z (fractional)
1 Se 0.1531 0.6250 0.2500  2 Tc 2.47, 2 Hf 2.59
2 Se 0.8750 0.8469 0.7500  2 Tc 2.47, 2 Hf 2.59
3 Se 0.3750 0.4031 0.7500  2 Tc 2.47, 2 Hf 2.59
4 Se 0.5969 0.1250 0.2500  2 Tc 2.47, 2 Hf 2.59
5 Hf 0.0000 0.0000 0.0000  4 Se 2.59
6 Hf 0.7500 0.2500 0.5000  4 Se 2.59
7 Tc 0.2500 0.7500 0.5000  4 Se 2.47
8 Tc 0.5000 0.5000 0.0000  4 Se 2.47

=====

Q: Which of them is the least stable? A: *2*.

=====

*1*
First-principles (PBE) data for crystalline Hf2Te2Se at its relaxed geometry, as listed in the Alexandria database.

Total moment, μB/atom: 0.000
Space group: P4/mbm

a = 7.7741 Å, b = 7.7741 Å, c = 3.8615 Å
α = 90.00°, β = 90.00°, γ = 90.00°
With the nearest neighbours (Å) after each atom.
Element x y z (fractional)
1 Se 0.0000 0.0000 0.0000  4 Hf 2.99
2 Se 0.5000 0.5000 0.0000  4 Hf 2.99
3 Te 0.1476 0.6476 0.5000  6 Hf 2.97-3.01, 1 Te 3.25
4 Te 0.6476 0.8524 0.5000  6 Hf 2.97-3.01, 1 Te 3.25
5 Te 0.8524 0.3524 0.5000  6 Hf 2.97-3.01, 1 Te 3.25
6 Te 0.3524 0.1476 0.5000  6 Hf 2.97-3.01, 1 Te 3.25
7 Hf 0.1427 0.3573 0.0000  6 Te 2.97-3.01, 2 Se 2.99, 1 Hf 3.14
8 Hf 0.8573 0.6427 0.0000  6 Te 2.97-3.01, 2 Se 2.99, 1 Hf 3.14
9 Hf 0.6427 0.1427 0.0000  6 Te 2.97-3.01, 2 Se 2.99, 1 Hf 3.14
10 Hf 0.3573 0.8573 0.0000  6 Te 2.97-3.01, 2 Se 2.99, 1 Hf 3.14

=====

*2*
First-principles (PBE) data for crystalline Hf2Te2Se at its relaxed geometry, as listed in the Alexandria database.

Total moment, μB/atom: 0.000
Space group: I4/mmm

a = 4.7912 Å, b = 4.7912 Å, c = 7.0658 Å
α = 70.18°, β = 70.18°, γ = 90.00°
With the nearest neighbours (Å) after each atom.
Element x y z (fractional)
1 Te 0.7500 0.2500 0.5000  4 Hf 2.88
2 Te 0.2500 0.7500 0.5000  4 Hf 2.88
3 Se 0.0000 0.0000 0.0000  8 Hf 3.71, 8 Te 3.92
4 Hf 0.3784 0.3784 0.2433  4 Te 2.88, 1 Hf 3.02
5 Hf 0.6216 0.6216 0.7567  4 Te 2.88, 1 Hf 3.02

=====

*3*
First-principles (PBE) data for crystalline Hf2Te2Se at its relaxed geometry, as listed in the Alexandria database.

Total moment, μB/atom: 0.000
Space group: C2/m

a = 5.6971 Å, b = 7.0456 Å, c = 8.1135 Å
α = 112.02°, β = 90.00°, γ = 113.85°
With the nearest neighbours (Å) after each atom.
Element x y z (fractional)
1 Se 0.6646 0.3292 0.0816  3 Hf 2.57-2.60
2 Se 0.3354 0.6708 0.9184  3 Hf 2.57-2.60
3 Hf 0.1947 0.3894 0.5827  1 Se 2.58, 1 Te 2.88
4 Hf 0.8053 0.6106 0.4173  1 Se 2.58, 1 Te 2.88
5 Hf 0.5170 0.0340 0.2194  2 Se 2.57-2.60
6 Hf 0.4830 0.9660 0.7806  2 Se 2.57-2.60
7 Te 0.0178 0.0357 0.7494  4 Hf 2.91-3.09
8 Te 0.3364 0.6729 0.3860  5 Hf 2.88-3.13
9 Te 0.6636 0.3271 0.6140  5 Hf 2.88-3.13
10 Te 0.9822 0.9643 0.2506  4 Hf 2.91-3.09

=====

Q: Which of them is the least stable? A: *2*.